# Hf2TiNi3 (PBE, relaxed)
data_Hf2TiNi3
_chemical_formula_sum 'Hf4 Ti2 Ni6'
_cell_length_a 3.286
_cell_length_b 4.044
_cell_length_c 13.940
_cell_angle_alpha 90.00
_cell_angle_beta 90.00
_cell_angle_gamma 90.00
_symmetry_space_group_name_H-M 'P 1'
_symmetry_Int_Tables_number 1
loop_
_symmetry_equiv_pos_as_xyz
'x,y,z'
loop_
_atom_site_label
_atom_site_type_symbol
_atom_site_fract_x
_atom_site_fract_y
_atom_site_fract_z
Ni1 Ni 0.275 0.500 0.367
Hf1 Hf 0.771 0.000 0.674
Ni2 Ni 0.282 0.000 0.500
Ti1 Ti 0.218 0.000 0.000
Hf2 Hf 0.771 0.000 0.326
Ni3 Ni 0.718 0.500 0.000
Hf3 Hf 0.229 0.500 0.174
Ni4 Ni 0.275 0.500 0.633
Ni5 Ni 0.725 0.000 0.133
Ti2 Ti 0.782 0.500 0.500
Ni6 Ni 0.725 0.000 0.867
Hf4 Hf 0.229 0.500 0.826
# E_tot = -7.98 eV per atom
# E_form = -0.460 eV/atom
# Total moment = 0.00 μB/f.u.
# N(E_F) = 0.710 states/eV per atom
# Energy above the lowest structure with this stoichiometry = 0 meV/atom
# Density = 10.4 g/cm³



# Li2CaPr2Ga2 (PBE, relaxed)
data_Li2CaPr2Ga2
_chemical_formula_sum 'Li2 Ca1 Pr2 Ga2'
_cell_length_a 4.718
_cell_length_b 4.718
_cell_length_c 9.609
_cell_angle_alpha 75.79
_cell_angle_beta 75.79
_cell_angle_gamma 60.00
_symmetry_space_group_name_H-M 'P 1'
_symmetry_Int_Tables_number 1
loop_
_symmetry_equiv_pos_as_xyz
'x,y,z'
loop_
_atom_site_label
_atom_site_type_symbol
_atom_site_fract_x
_atom_site_fract_y
_atom_site_fract_z
Pr1 Pr 0.126 0.126 0.621
Li1 Li 0.608 0.608 0.177
Li2 Li 0.392 0.392 0.823
Pr2 Pr 0.874 0.874 0.379
Ga1 Ga 0.741 0.741 0.778
Ca1 Ca 0.000 0.000 0.000
Ga2 Ga 0.259 0.259 0.222
# E_tot = -3.33 eV per atom
# E_form = -0.262 eV/atom
# Total moment = 0.00 μB/f.u.
# N(E_F) = 0.592 states/eV per atom
# Density = 4.4 g/cm³



# Ho6TeC3 (PBE, relaxed)
data_Ho6TeC3
_chemical_formula_sum 'Ho12 Te2 C6'
_cell_length_a 3.677
_cell_length_b 10.326
_cell_length_c 11.569
_cell_angle_alpha 101.90
_cell_angle_beta 90.00
_cell_angle_gamma 90.00
_symmetry_space_group_name_H-M 'P 1'
_symmetry_Int_Tables_number 1
loop_
_symmetry_equiv_pos_as_xyz
'x,y,z'
loop_
_atom_site_label
_atom_site_type_symbol
_atom_site_fract_x
_atom_site_fract_y
_atom_site_fract_z
Ho1 Ho 0.750 0.674 0.246
Te1 Te 0.250 0.953 0.317
C1 C 0.750 0.640 0.448
Ho2 Ho 0.750 0.524 0.625
C2 C 0.750 0.147 0.059
Ho3 Ho 0.750 0.210 0.478
Ho4 Ho 0.750 0.801 0.802
Ho5 Ho 0.250 0.199 0.198
Ho6 Ho 0.250 0.613 0.953
Ho7 Ho 0.250 0.326 0.754
Ho8 Ho 0.250 0.790 0.522
C3 C 0.750 0.476 0.846
Ho9 Ho 0.250 0.081 0.916
Ho10 Ho 0.250 0.476 0.375
C4 C 0.250 0.853 0.941
Ho11 Ho 0.750 0.919 0.084
Ho12 Ho 0.750 0.387 0.047
Te2 Te 0.750 0.047 0.683
C5 C 0.250 0.360 0.552
C6 C 0.250 0.524 0.154
# E_tot = -6.27 eV per atom
# Total moment = 0.48 μB/f.u.
# N(E_F) = 0.785 states/eV per atom
# Raw formation energy = -0.4461 eV per atom
# Density = 8.9 g/cm³



# Al2ZnCu8 (PBE, relaxed)
data_Al2ZnCu8
_chemical_formula_sum 'Al2 Zn1 Cu8'
_cell_length_a 4.404
_cell_length_b 6.609
_cell_length_c 6.853
_cell_angle_alpha 61.17
_cell_angle_beta 74.61
_cell_angle_gamma 56.61
_symmetry_space_group_name_H-M 'P 1'
_symmetry_Int_Tables_number 1
loop_
_symmetry_equiv_pos_as_xyz
'x,y,z'
loop_
_atom_site_label
_atom_site_type_symbol
_atom_site_fract_x
_atom_site_fract_y
_atom_site_fract_z
Al1 Al 0.000 0.690 0.620
Cu1 Cu 0.176 0.901 0.756
Cu2 Cu 0.303 0.426 0.000
Cu3 Cu 0.824 0.343 0.756
Cu4 Cu 0.824 0.099 0.244
Cu5 Cu 0.176 0.657 0.244
Cu6 Cu 0.697 0.574 0.000
Cu7 Cu 0.500 0.796 0.409
Zn1 Zn 0.500 0.000 0.000
Cu8 Cu 0.500 0.204 0.591
Al2 Al 0.000 0.310 0.380
# E_tot = -3.79 eV per atom
# E_form = -0.013 eV/atom
# Total moment = 0.00 μB/f.u.
# N(E_F) = 0.303 states/eV per atom
# Energy above the lowest structure with this stoichiometry = 128 meV/atom
# Density = 7.1 g/cm³



# AsAu3 (PBE, relaxed)
data_AsAu3
_chemical_formula_sum 'As1 Au3'
_cell_length_a 3.125
_cell_length_b 4.790
_cell_length_c 4.925
_cell_angle_alpha 90.00
_cell_angle_beta 90.00
_cell_angle_gamma 90.00
_symmetry_space_group_name_H-M 'P 1'
_symmetry_Int_Tables_number 1
loop_
_symmetry_equiv_pos_as_xyz
'x,y,z'
loop_
_atom_site_label
_atom_site_type_symbol
_atom_site_fract_x
_atom_site_fract_y
_atom_site_fract_z
As1 As 0.000 0.000 0.987
Au1 Au 0.500 0.500 0.848
Au2 Au 0.500 0.000 0.486
Au3 Au 0.000 0.500 0.346
# E_tot = -3.49 eV per atom
# E_form = 0.135 eV/atom
# Total moment = 0.00 μB/f.u.
# N(E_F) = 0.174 states/eV per atom
# Energy above the lowest structure with this stoichiometry = 29 meV/atom
# Density = 15.0 g/cm³



# AcSc4Ag5 (PBE, relaxed)
data_AcSc4Ag5
_chemical_formula_sum 'Ac1 Sc4 Ag5'
_cell_length_a 3.511
_cell_length_b 3.511
_cell_length_c 17.919
_cell_angle_alpha 90.00
_cell_angle_beta 90.00
_cell_angle_gamma 90.00
_symmetry_space_group_name_H-M 'P 1'
_symmetry_Int_Tables_number 1
loop_
_symmetry_equiv_pos_as_xyz
'x,y,z'
loop_
_atom_site_label
_atom_site_type_symbol
_atom_site_fract_x
_atom_site_fract_y
_atom_site_fract_z
Ag1 Ag 0.500 0.500 0.688
Sc1 Sc 0.000 0.000 0.406
Ag2 Ag 0.500 0.500 0.312
Ag3 Ag 0.500 0.500 0.131
Ag4 Ag 0.500 0.500 0.869
Sc2 Sc 0.000 0.000 0.218
Sc3 Sc 0.000 0.000 0.782
Ac1 Ac 0.000 0.000 0.000
Ag5 Ag 0.500 0.500 0.500
Sc4 Sc 0.000 0.000 0.594
# E_tot = -4.61 eV per atom
# E_form = -0.242 eV/atom
# Total moment = 0.00 μB/f.u.
# N(E_F) = 0.693 states/eV per atom
# Density = 7.1 g/cm³



# Ba8P3SeCl4 (PBE, relaxed)
data_Ba8P3SeCl4
_chemical_formula_sum 'Ba8 P3 Se1 Cl4'
_cell_length_a 9.338
_cell_length_b 9.318
_cell_length_c 9.339
_cell_angle_alpha 120.07
_cell_angle_beta 120.00
_cell_angle_gamma 90.00
_symmetry_space_group_name_H-M 'P 1'
_symmetry_Int_Tables_number 1
loop_
_symmetry_equiv_pos_as_xyz
'x,y,z'
loop_
_atom_site_label
_atom_site_type_symbol
_atom_site_fract_x
_atom_site_fract_y
_atom_site_fract_z
Ba1 Ba 0.742 0.727 0.484
Cl1 Cl 0.500 0.000 0.500
Ba2 Ba 0.258 0.273 0.516
Cl2 Cl 0.000 0.000 0.000
Ba3 Ba 0.247 0.727 0.494
Ba4 Ba 0.733 0.727 0.980
Ba5 Ba 0.267 0.273 0.020
Ba6 Ba 0.753 0.273 0.020
Ba7 Ba 0.247 0.727 0.980
Cl3 Cl 0.500 0.000 0.000
Cl4 Cl 0.000 0.000 0.500
P1 P 0.500 0.500 0.500
P2 P 0.500 0.500 0.000
Ba8 Ba 0.753 0.273 0.506
Se1 Se 0.000 0.500 0.000
P3 P 0.000 0.500 0.500
# E_tot = -4.40 eV per atom
# Total moment = 0.00 μB/f.u.
# N(E_F) = 0.223 states/eV per atom
# Raw formation energy = -1.7458 eV per atom
# Density = 4.1 g/cm³



# SrYPb (PBE, relaxed)
data_SrYPb
_chemical_formula_sum 'Sr1 Y1 Pb1'
_cell_length_a 5.363
_cell_length_b 5.363
_cell_length_c 4.321
_cell_angle_alpha 90.00
_cell_angle_beta 90.00
_cell_angle_gamma 120.00
_symmetry_space_group_name_H-M 'P 1'
_symmetry_Int_Tables_number 1
loop_
_symmetry_equiv_pos_as_xyz
'x,y,z'
loop_
_atom_site_label
_atom_site_type_symbol
_atom_site_fract_x
_atom_site_fract_y
_atom_site_fract_z
Y1 Y 0.333 0.667 0.834
Pb1 Pb 0.000 0.000 0.833
Sr1 Sr 0.667 0.333 0.334
# E_tot = -4.20 eV per atom
# E_form = -0.244 eV/atom
# Total moment = 0.38 μB/f.u.
# N(E_F) = 0.883 states/eV per atom
# Density = 5.9 g/cm³



# MgIn4Pt2 (PBE, relaxed)
data_MgIn4Pt2
_chemical_formula_sum 'Mg1 In4 Pt2'
_cell_length_a 4.514
_cell_length_b 4.514
_cell_length_c 9.616
_cell_angle_alpha 76.43
_cell_angle_beta 76.43
_cell_angle_gamma 60.00
_symmetry_space_group_name_H-M 'P 1'
_symmetry_Int_Tables_number 1
loop_
_symmetry_equiv_pos_as_xyz
'x,y,z'
loop_
_atom_site_label
_atom_site_type_symbol
_atom_site_fract_x
_atom_site_fract_y
_atom_site_fract_z
In1 In 0.800 0.800 0.599
Pt1 Pt 0.903 0.903 0.291
Mg1 Mg 0.000 0.000 0.000
In2 In 0.200 0.200 0.401
In3 In 0.604 0.604 0.188
Pt2 Pt 0.097 0.097 0.709
In4 In 0.396 0.396 0.812
# E_tot = -3.94 eV per atom
# E_form = -0.421 eV/atom
# Total moment = 0.00 μB/f.u.
# N(E_F) = 0.477 states/eV per atom
# Density = 8.9 g/cm³



# SrCd4Pb8 (PBE, relaxed)
data_SrCd4Pb8
_chemical_formula_sum 'Sr1 Cd4 Pb8'
_cell_length_a 5.932
_cell_length_b 8.665
_cell_length_c 8.665
_cell_angle_alpha 83.27
_cell_angle_beta 69.98
_cell_angle_gamma 69.98
_symmetry_space_group_name_H-M 'P 1'
_symmetry_Int_Tables_number 1
loop_
_symmetry_equiv_pos_as_xyz
'x,y,z'
loop_
_atom_site_label
_atom_site_type_symbol
_atom_site_fract_x
_atom_site_fract_y
_atom_site_fract_z
Pb1 Pb 0.288 0.212 0.212
Pb2 Pb 0.351 0.649 0.649
Cd1 Cd 0.500 0.500 0.000
Cd2 Cd 0.000 0.000 0.500
Pb3 Pb 0.712 0.788 0.788
Cd3 Cd 0.000 0.500 0.000
Sr1 Sr 0.000 0.000 0.000
Pb4 Pb 0.000 0.351 0.649
Cd4 Cd 0.500 0.000 0.500
Pb5 Pb 0.649 0.351 0.351
Pb6 Pb 0.500 0.212 0.788
Pb7 Pb 0.500 0.788 0.212
Pb8 Pb 0.000 0.649 0.351
# E_tot = -2.75 eV per atom
# E_form = -0.061 eV/atom
# Total moment = 0.00 μB/f.u.
# N(E_F) = 0.588 states/eV per atom
# Density = 9.3 g/cm³



# Pt4Se (PBE, relaxed)
data_Pt4Se
_chemical_formula_sum 'Pt4 Se1'
_cell_length_a 4.627
_cell_length_b 4.627
_cell_length_c 4.627
_cell_angle_alpha 90.00
_cell_angle_beta 90.00
_cell_angle_gamma 90.00
_symmetry_space_group_name_H-M 'P 1'
_symmetry_Int_Tables_number 1
loop_
_symmetry_equiv_pos_as_xyz
'x,y,z'
loop_
_atom_site_label
_atom_site_type_symbol
_atom_site_fract_x
_atom_site_fract_y
_atom_site_fract_z
Pt1 Pt 0.500 0.500 0.000
Pt2 Pt 0.000 0.500 0.500
Pt3 Pt 0.500 0.000 0.500
Pt4 Pt 0.000 0.000 0.000
Se1 Se 0.500 0.500 0.500
# E_tot = -4.70 eV per atom
# Total moment = 0.00 μB/f.u.
# N(E_F) = 1.165 states/eV per atom
# Raw formation energy = 0.8317 eV per atom
# Density = 14.4 g/cm³



# Cs2Bi4Au3 (PBE, relaxed)
data_Cs2Bi4Au3
_chemical_formula_sum 'Cs2 Bi4 Au3'
_cell_length_a 7.586
_cell_length_b 7.586
_cell_length_c 7.907
_cell_angle_alpha 104.78
_cell_angle_beta 104.78
_cell_angle_gamma 117.92
_symmetry_space_group_name_H-M 'P 1'
_symmetry_Int_Tables_number 1
loop_
_symmetry_equiv_pos_as_xyz
'x,y,z'
loop_
_atom_site_label
_atom_site_type_symbol
_atom_site_fract_x
_atom_site_fract_y
_atom_site_fract_z
Au1 Au 0.000 0.000 0.000
Bi1 Bi 0.302 0.953 0.255
Au2 Au 0.000 0.500 0.000
Au3 Au 0.500 0.000 0.000
Bi2 Bi 0.698 0.047 0.745
Bi3 Bi 0.047 0.698 0.745
Cs1 Cs 0.359 0.359 0.718
Cs2 Cs 0.641 0.641 0.282
Bi4 Bi 0.953 0.302 0.255
# E_tot = -3.24 eV per atom
# E_form = -0.237 eV/atom
# Total moment = 0.00 μB/f.u.
# N(E_F) = 0.399 states/eV per atom
# Density = 8.0 g/cm³



Look up the E_tot of the sixth one.
-4.61 eV per atom



density of number 1 (Hf2TiNi3)?
10.4 g/cm³